VASP calculation (GGA-PBE) on K2LiF3 after structural relaxation.

Cell lengths 3.592, 7.483, 14.409 Å; angles 90.00, 90.00, 90.00 degrees
Last column: magnetic moment on the atom in μB.
Sites, in units of the cell vectors:
F 0.250 0.145 0.574  0.05
F 0.250 0.516 0.396  0.03
F 0.250 0.645 0.926  0.05
F 0.750 0.484 0.604  0.03
F 0.750 0.855 0.426  0.05
F 0.750 0.171 0.261  0.05
F 0.250 0.329 0.761  0.05
F 0.250 0.016 0.104  0.03
F 0.750 0.671 0.239  0.05
F 0.750 0.984 0.896  0.03
F 0.750 0.355 0.074  0.05
F 0.250 0.829 0.739  0.05
K 0.750 0.583 0.787  0.00
K 0.250 0.917 0.287  0.00
K 0.250 0.417 0.213  0.00
K 0.750 0.734 0.049  0.00
K 0.250 0.766 0.549  0.00
K 0.750 0.083 0.713  0.00
K 0.250 0.266 0.951  0.00
K 0.750 0.234 0.451  0.00
Li 0.750 0.626 0.370  0.00
Li 0.250 0.374 0.630  0.00
Li 0.250 0.874 0.870  0.00
Li 0.750 0.126 0.130  0.00

Summary:
M_tot: 0.60 μB per cell
formation energy from raw total energies: -16.64 eV/f.u.
DOS at the Fermi energy: 0.000 states/eV/atom
total energy: -26.360 eV per formula unit
SG: Pnma (62)